This record from the Alexandria database describes a relaxed Na2CaHgF crystal. The functional is GGA-PBE.

Properties
The total magnetic moment is 0.0 μB per cell. Its space group is P4/mmm, No. 123. Its formation energy (no corrections) is -1219 meV/atom.

```
Na2CaHgF
1.0
4.824 0.000 0.000
0.000 4.824 0.000
0.000 0.000 4.852
Ca Na F Hg
1 2 1 1
direct
0.000 0.000 0.500
0.000 0.500 0.000
0.500 0.000 0.000
0.000 0.000 0.000
0.500 0.500 0.500
```